Below is a relaxed structure of NpAgSnTe3, with properties calculated at the PBE level.

Output
Symmetry   P2_1/m (11)
Calculated density   7.52 g cm⁻³
D(E_F)   17.5 states/eV per cell
Total DFT energy (no corrections)   -62.57 eV for the cell shown

abc: 9.109 4.259 9.763
angles: 90.00 99.37 90.00
Fractional coordinates of all 12 atoms:
Np: 0.158 0.250 0.234
Np: 0.842 0.750 0.766
Ag: 0.080 0.250 0.580
Ag: 0.920 0.750 0.420
Sn: 0.348 0.750 0.830
Sn: 0.652 0.250 0.170
Te: 0.094 0.250 0.875
Te: 0.249 0.750 0.481
Te: 0.390 0.750 0.146
Te: 0.610 0.250 0.854
Te: 0.751 0.250 0.519
Te: 0.906 0.750 0.125